RbTbAlS4 | GGA-PBE | relaxed

Cell and atoms, written as POSCAR:
```
RbTbAlS4
1.0
-2.950 -5.560 2.831
0.364 -2.728 -4.979
9.390 -1.139 1.311
Rb Tb Al S
2 2 2 8
Cartesian
7.088 -7.255 -0.381
-0.284 -2.172 -0.456
2.218 -6.701 -1.041
4.586 -2.726 0.204
2.644 -3.833 -2.581
4.160 -5.594 1.745
6.752 -2.224 -1.631
-0.119 -5.918 3.140
0.052 -7.204 0.794
6.924 -3.509 -3.977
0.683 -4.743 -2.226
6.121 -4.684 1.389
4.374 -5.011 -1.809
2.430 -4.416 0.972
```

Calculated values
- DOS at the Fermi energy: 3.26 states/eV per cell
- Total DFT energy (no corrections): -71.14 eV per cell
- Symmetry: P2_1/m (11)